Entry 1:
Material: Na3V2CrS6
Method: DFT, PBE-GGA
State: relaxed

Cell lengths 6.181, 6.181, 6.821 Å; angles 98.78, 98.78, 118.86 degrees
Site moments in Bohr magnetons follow the coordinates.
Positions (direct):
Na 0.172 0.828 0.500  0.00
Cr 0.000 0.000 0.000  2.97
S 0.604 0.937 0.802  -0.06
V 0.345 0.655 0.000  1.88
S 0.396 0.063 0.198  -0.06
S 0.063 0.396 0.198  -0.06
V 0.655 0.345 0.000  1.88
S 0.257 0.257 0.792  -0.09
Na 0.828 0.172 0.500  0.00
S 0.743 0.743 0.208  -0.09
S 0.937 0.604 0.802  -0.06
Na 0.500 0.500 0.500  0.00

V, A^3/atom: 18.1
Formation energy (no corrections), kJ/mol of formula units: -1150
Raw total energy, eV for the cell shown: -68.5
D(E_F), states/eV per cell: 6.319

=====

Entry 2:
Material: NdHoTe2Br
Method: DFT, PBE-GGA
State: relaxed

Cell lengths 4.435, 4.435, 15.073 Å; angles 90.00, 90.00, 90.00 degrees
Positions (direct):
Br 0.500 0.500 0.500
Te 0.500 0.000 0.880
Ho 0.000 0.500 0.916
Br 0.000 0.000 0.500
Nd 0.500 0.000 0.643
Te 0.000 0.500 0.120
Ho 0.500 0.000 0.084
Nd 0.000 0.500 0.357
Te 0.500 0.000 0.291
Te 0.000 0.500 0.709

V, A^3/atom: 29.6
Formation energy (no corrections), kJ/mol of formula units: -684
Raw total energy, eV for the cell shown: -48.8
D(E_F), states/eV per cell: 3.076